Here is a geometry-optimized BaH2Os structure from Alexandria via LeMat-Bulk. Energies are from GGA-PBE.

The structure in extended XYZ format:
```
4
Lattice="0.000 3.132 3.132 3.132 0.000 3.132 3.132 3.132 0.000" Properties=species:S:1:pos:R:3 pbc="T T T"
Ba 0.000 0.000 0.000
H 1.566 1.566 1.566
H 4.697 4.697 4.697
Os 3.132 3.132 3.132
```

Computed properties:
Its final energy is -3.801 eV per atom. The magnetization comes out at 1.05 μB per cell.



Here is a geometry-optimized CeCu7Ni5 structure from Alexandria via LeMat-Bulk. Energies are from GGA-PBE.

The structure in extended XYZ format:
```
13
Lattice="-2.411 4.172 4.165 2.411 -4.172 4.165 2.411 4.172 -4.165" Properties=species:S:1:pos:R:3 pbc="T T T"
Ce 0.000 0.000 0.000
Cu 2.411 1.866 -0.065
Cu 2.411 -1.219 4.082
Cu 0.000 0.000 2.896
Cu 2.411 1.219 4.082
Cu 0.000 0.000 5.358
Cu 0.000 4.172 2.238
Cu 0.000 2.306 4.100
Ni 2.411 0.000 1.746
Ni 1.205 2.072 2.017
Ni 3.617 2.072 2.017
Ni -1.206 2.100 6.182
Ni 1.206 2.100 6.182
```

Computed properties:
Its final energy is -4.989 eV per atom. The magnetization comes out at 0.03 μB per cell. Its energy of formation from the pure elements is -2.4 kcal/mol of atoms.



Q: Which value of magnetization does entry 2 give?
A: 0.03 μB per cell